1.
Computed, not measured: a relaxed structure of Na2LaMgTe at the PBE level of DFT.

Structure (POSCAR):
```
Na2LaMgTe
1.0
5.324 0.000 0.000
0.000 5.324 0.000
0.000 0.000 5.721
Na La Mg Te
2 1 1 1
direct
0.000 0.500 0.000 Na
0.500 0.000 0.000 Na
0.000 0.000 0.500 La
0.500 0.500 0.000 Mg
0.500 0.500 0.500 Te
```

Calculated values
**E_form (uncorrected)**: 0.5 eV/f.u.
**Uncorrected energy**: -2.368 eV per atom
**SG**: P4/mmm (123)
**Fermi-level density of states**: 5.99 states/eV/cell

2.
Computed, not measured: a relaxed structure of NaLa2MgV at the PBE level of DFT.

Structure (POSCAR):
```
NaLa2MgV
1.0
5.752 0.000 0.000
0.000 5.752 0.000
0.000 0.000 4.833
Na La Mg V
1 2 1 1
direct
0.000 0.000 0.000 Na
0.000 0.500 0.000 La
0.500 0.000 0.000 La
0.500 0.500 0.500 Mg
0.000 0.000 0.500 V
```

Calculated values
**Energy of formation from the pure elements**: 1.2115 eV/atom
**Uncorrected energy**: -3.166 eV per atom
**SG**: P4/mmm (123)
**Fermi-level density of states**: 10.02 states/eV/cell

3.
Computed, not measured: a relaxed structure of NaLaMgZn at the PBE level of DFT.

Structure (POSCAR):
```
NaLaMgZn
1.0
0.000 3.679 3.679
3.679 0.000 3.679
3.679 3.679 0.000
Na La Mg Zn
1 1 1 1
direct
0.000 0.000 0.000 Na
0.750 0.750 0.750 La
0.250 0.250 0.250 Mg
0.500 0.500 0.500 Zn
```

Calculated values
**Energy of formation from the pure elements**: -0.0686 eV/atom
**Uncorrected energy**: -2.347 eV per atom
**SG**: F-43m (216)
**Fermi-level density of states**: 1.28 states/eV/cell

4.
Computed, not measured: a relaxed structure of La2MgNb2 at the PBE level of DFT.

Structure (POSCAR):
```
La2MgNb2
1.0
-2.194 2.194 7.301
2.194 -2.194 7.301
2.194 2.194 -7.301
La Mg Nb
2 1 2
direct
0.250 0.750 0.500 La
0.750 0.250 0.500 La
0.000 0.000 0.000 Mg
0.424 0.424 0.000 Nb
0.576 0.576 0.000 Nb
```

Calculated values
**Energy of formation from the pure elements**: 0.8404 eV/atom
**Uncorrected energy**: -5.477 eV per atom
**SG**: I4/mmm (139)
**Fermi-level density of states**: 6.42 states/eV/cell
**E above lowest polymorph**: 10.896 kcal/mol of atoms

5.
Computed, not measured: a relaxed structure of La2MgNb2 at the PBE level of DFT.

Structure (POSCAR):
```
La2MgNb2
1.0
7.683 0.000 0.000
0.000 7.683 0.000
0.000 0.000 4.555
La Mg Nb
4 2 4
direct
0.178 0.322 0.000 La
0.322 0.822 0.000 La
0.678 0.178 0.000 La
0.822 0.678 0.000 La
0.000 0.000 0.500 Mg
0.500 0.500 0.500 Mg
0.119 0.619 0.500 Nb
0.381 0.119 0.500 Nb
0.619 0.881 0.500 Nb
0.881 0.381 0.500 Nb
```

Calculated values
**Energy of formation from the pure elements**: 0.3679 eV/atom
**Uncorrected energy**: -5.950 eV per atom
**SG**: P4/mbm (127)
**Fermi-level density of states**: 14.13 states/eV/cell
**E above lowest polymorph**: 0.000 kcal/mol of atoms

6.
Computed, not measured: a relaxed structure of LaMgNb2 at the PBE level of DFT.

Structure (POSCAR):
```
LaMgNb2
1.0
-3.961 3.961 2.965
3.961 -3.961 2.965
3.961 3.961 -2.965
La Mg Nb
2 2 4
direct
0.000 0.000 0.000 La
0.750 0.250 0.500 La
0.250 0.750 0.500 Mg
0.500 0.500 0.000 Mg
0.139 0.125 0.514 Nb
0.375 0.861 0.986 Nb
0.611 0.625 0.486 Nb
0.875 0.389 0.014 Nb
```

Calculated values
**Energy of formation from the pure elements**: 0.8952 eV/atom
**Uncorrected energy**: -5.770 eV per atom
**SG**: I-42d (122)
**Fermi-level density of states**: 11.84 states/eV/cell